Entry 1:
{"formula": "Ba2CeHoS6", "functional": "PBE", "state": "relaxed", "crystal_system": "monoclinic", "raw_formation_energy_mev_per_atom": -1823, "cell": [[-3.6214, 2.9255, -5.5336], [-3.7243, -6.5279, -1.0139], [-7.4018, 3.1930, 6.6310]], "species": ["Ba", "Ba", "Ba", "Ba", "Ce", "Ce", "Ho", "Ho", "S", "S", "S", "S", "S", "S", "S", "S", "S", "S", "S", "S"], "frac_coords": [[0.0212, 0.9356, 0.2495], [0.5212, 0.5644, 0.7495], [0.9788, 0.0644, 0.7505], [0.4788, 0.4356, 0.2505], [0.5000, 0.0000, 0.0000], [0.0000, 0.5000, 0.5000], [0.5000, 0.0000, 0.5000], [0.0000, 0.5000, 0.0000], [0.2970, 0.7069, 0.0462], [0.7970, 0.7931, 0.5462], [0.7030, 0.2931, 0.9538], [0.2030, 0.2069, 0.4538], [0.2982, 0.7055, 0.4548], [0.7982, 0.7945, 0.9548], [0.7018, 0.2945, 0.5452], [0.2018, 0.2055, 0.0452], [0.9130, 0.5218, 0.2494], [0.4130, 0.9782, 0.7494], [0.0870, 0.4782, 0.7506], [0.5870, 0.0218, 0.2506]]}


Entry 2:
{"formula": "Ba2CeHoSe4", "functional": "PBE", "state": "relaxed", "crystal_system": "monoclinic", "raw_formation_energy_mev_per_atom": -1861, "cell": [[-1.7817, 1.2783, 3.7458], [-3.9187, -6.4238, 0.3281], [6.8407, -1.0613, 3.6161]], "species": ["Ba", "Ba", "Ce", "Ho", "Se", "Se", "Se", "Se"], "frac_coords": [[0.5000, 0.0000, 0.5000], [0.0000, 0.5000, 0.5000], [0.5000, 0.5000, 0.0000], [0.0000, 0.0000, 0.0000], [0.5000, 0.2302, 0.2130], [0.5000, 0.7698, 0.7870], [0.0000, 0.2525, 0.7824], [0.0000, 0.7475, 0.2176]]}


Entry 3:
{"formula": "BaCe2I6", "functional": "PBE", "state": "relaxed", "crystal_system": "monoclinic", "raw_formation_energy_mev_per_atom": -1358, "cell": [[7.2445, -0.0153, 1.7301], [1.5873, 9.4981, 4.4769], [0.1016, 0.2484, 10.6162]], "species": ["Ba", "Ba", "Ce", "Ce", "Ce", "Ce", "I", "I", "I", "I", "I", "I", "I", "I", "I", "I", "I", "I"], "frac_coords": [[0.2500, 0.2877, 0.7123], [0.7500, 0.7123, 0.2877], [0.9793, 0.7578, 0.7523], [0.5207, 0.2477, 0.2422], [0.0207, 0.2422, 0.2477], [0.4793, 0.7523, 0.7578], [0.3293, 0.6680, 0.5382], [0.1707, 0.4618, 0.3320], [0.6707, 0.3320, 0.4618], [0.8293, 0.5382, 0.6680], [0.7894, 0.9461, 0.4393], [0.7106, 0.5607, 0.0539], [0.2106, 0.0539, 0.5607], [0.2894, 0.4393, 0.9461], [0.1232, 0.8176, 0.9818], [0.3768, 0.0182, 0.1824], [0.8768, 0.1824, 0.0182], [0.6232, 0.9818, 0.8176]]}